Crystalline Rb7IO2F2 at its relaxed geometry. Source: the Alexandria database, functional PBE-GGA.

Calculated values
Its crystal system is tetragonal. The space group is No. 139.

a b c (Å): 12.210 12.210 12.210
angles (deg): 152.90 152.90 38.71
Atoms (fractional coordinates):
Rb 0.000 0.000 0.000
Rb 0.124 0.624 0.500
Rb 0.236 0.236 0.000
Rb 0.376 0.876 0.500
Rb 0.624 0.124 0.500
Rb 0.764 0.764 0.000
Rb 0.876 0.376 0.500
I 0.500 0.500 0.000
O 0.120 0.120 0.000
O 0.880 0.880 0.000
F 0.250 0.750 0.500
F 0.750 0.250 0.500

=====

Crystalline RbIO2F at its relaxed geometry. Source: the Alexandria database, functional PBE-GGA.

Calculated values
Its crystal system is tetragonal. The space group is No. 123.

a b c (Å): 5.294 5.294 4.276
angles (deg): 90.00 90.00 90.00
Atoms (fractional coordinates):
Rb 0.000 0.000 0.000
I 0.500 0.500 0.000
O 0.000 0.500 0.500
O 0.500 0.000 0.500
F 0.500 0.500 0.500

=====

Crystalline RbIOF2 at its relaxed geometry. Source: the Alexandria database, functional PBE-GGA.

Calculated values
Its crystal system is tetragonal. The space group is No. 123. The calculation puts the excess energy over the best structure of this formula in the dataset at 0.0 meV/atom.

a b c (Å): 5.030 5.030 4.081
angles (deg): 90.00 90.00 90.00
Atoms (fractional coordinates):
Rb 0.000 0.000 0.000
I 0.500 0.500 0.500
O 0.500 0.500 0.000
F 0.000 0.500 0.500
F 0.500 0.000 0.500

=====

Number 1: ΔE_f (raw) -19.1 eV per formula unit, mass density 3500 kg/m³. Number 2: ΔE_f (raw) 0.2 eV per formula unit, mass density 3649 kg/m³. Number 3: ΔE_f (raw) -6.5 eV per formula unit, mass density 4284 kg/m³.